(1)
Density functional theory data (PBE+U) for a relaxed structure of TaMnCuO6.

Values from the calculation:
* energy: -7.479 eV per atom

a = 4.6376 Å, b = 4.6376 Å, c = 9.0007 Å
α = 90.00°, β = 90.00°, γ = 90.00°
With the nearest neighbours (Å) after each atom.
Space group P4_2nm (No. 102)
Unique sites:
Ta: 0.0000 0.0000 0.0000  6 O 1.98-2.02
Mn: 0.0000 0.0000 0.6646  6 O 1.92-1.94
Cu: 0.0000 0.0000 0.3316  6 O 1.99-2.03
O: 0.1900 0.1900 0.8283  1 Mn 1.93, 1 Ta 1.99, 1 Cu 2.03
O: 0.1913 0.1913 0.5026  1 Mn 1.92, 1 Cu 1.99, 1 Ta 2.02
O: 0.2040 0.2040 0.1615  1 Mn 1.94, 1 Ta 1.98, 1 Cu 2.03



(2)
Density functional theory data (PBE+U) for a relaxed structure of MgMnF2.

Values from the calculation:
* distance to the lowest polymorph of the same formula: 0.0 meV/atom

a = 3.0916 Å, b = 3.0916 Å, c = 24.2126 Å
α = 90.00°, β = 90.00°, γ = 120.00°
With the nearest neighbours (Å) after each atom.
Space group R-3m (No. 166, hexagonal axes)
Unique sites:
Mg: 0.0000 0.0000 0.0000  6 F 2.02
Mn: 0.0000 0.0000 0.5000  2 F 3.08, 6 Mn 3.09
F: 0.0000 0.0000 0.3726  3 Mg 2.02